PBE-GGA Tb2I2N, optimized geometry; DOS(E_F) = 0.30 states/eV/atom; uncorrected energy = -5.520 eV per atom; volume = 29.064 Å³/atom
1.0
3.293 -1.901 0.000
3.293 1.901 0.000
-2.465 0.000 11.606
Tb I N
2 2 1
Cartesian
1.097 0.000 1.274
3.024 0.000 10.332
-1.367 0.000 8.159
5.488 0.000 3.447
3.293 0.000 0.000